Below is a relaxed structure of NiBF3, with properties calculated at the PBE+U level.

Summary:
VASP energy in eV for the cell shown: -16.58
Magnetic moment in μB per cell: 0.876

Geometry as CIF:
```
data_NiBF3
_chemical_formula_sum 'Ni1 B1 F3'
_cell_length_a 3.6608
_cell_length_b 3.6608
_cell_length_c 3.6608
_cell_angle_alpha 90.00
_cell_angle_beta 90.00
_cell_angle_gamma 90.00
_space_group_name_H-M_alt 'P m -3 m'
_space_group_IT_number 221
_space_group_name_Hall '-P 4 2 3'
loop_
_atom_site_label
_atom_site_fract_x
_atom_site_fract_y
_atom_site_fract_z
_atom_site_occupancy
Ni1 0.0000 0.0000 0.0000 1
B1 0.5000 0.5000 0.5000 1
F1 0.0000 0.5000 0.5000 1
```